[1]
Crystalline Ta2ZnFe at its relaxed geometry, computed with PBE.

Unit cell a=4.1277 b=4.1277 c=3.5925 alpha=90.00 beta=90.00 gamma=90.00
Last column: nearest neighbours and their distance in Å.
Space group P4/mmm (No. 123)
One atom of each set of equivalent atoms:
1 Ta 0.0000 0.5000 0.0000 x2  4 Fe 2.74, 4 Zn 2.74, 4 Ta 2.92
2 Zn 0.0000 0.0000 0.5000 x1  8 Ta 2.74, 4 Fe 2.92
3 Fe 0.5000 0.5000 0.5000 x1  8 Ta 2.74, 4 Zn 2.92



[2]
Crystalline TaZnFe3 at its relaxed geometry, computed with PBE.

Unit cell a=4.1834 b=4.1834 c=4.1834 alpha=90.00 beta=90.00 gamma=90.00
Last column: nearest neighbours and their distance in Å.
Space group Pm-3m (No. 221)
One atom of each set of equivalent atoms:
1 Ta 0.0000 0.0000 0.0000 x1  12 Fe 2.96
2 Zn 0.5000 0.5000 0.5000 x1  6 Fe 2.09
3 Fe 0.0000 0.5000 0.5000 x3  2 Zn 2.09

E above lowest polymorph: 0 meV/atom



[3]
Crystalline TaZnFe at its relaxed geometry, computed with PBE.

Unit cell a=2.9226 b=2.9226 c=6.2214 alpha=90.00 beta=90.00 gamma=120.00
Last column: nearest neighbours and their distance in Å.
Space group P3m1 (No. 156)
One atom of each set of equivalent atoms:
1 Ta 0.0000 0.0000 0.0000 x1  3 Fe 2.54
2 Zn 0.6667 0.3333 0.3739 x1  3 Fe 2.61, 3 Ta 2.87, 6 Zn 2.92
3 Fe 0.3333 0.6667 0.6941 x1  3 Ta 2.54, 3 Zn 2.61

E above lowest polymorph: 352 meV/atom



[4]
Crystalline Ta2ZnFe at its relaxed geometry, computed with PBE.

Unit cell a=3.0529 b=3.0529 c=6.6186 alpha=90.00 beta=90.00 gamma=90.00
Last column: nearest neighbours and their distance in Å.
Space group P4mm (No. 99)
One atom of each set of equivalent atoms:
1 Ta 0.0000 0.0000 0.0000 x1  4 Fe 2.54, 1 Zn 2.80
2 Ta 0.5000 0.5000 0.3026 x1  4 Zn 2.82, 8 Ta 2.94-3.05
3 Zn 0.0000 0.0000 0.5762 x1  4 Fe 2.61, 5 Ta 2.80-2.82
4 Fe 0.5000 0.5000 0.7988 x1  4 Ta 2.54, 4 Zn 2.61



Number 1: DFT formation energy 0.20 eV per formula unit, DOS at the Fermi energy 0.913 states/eV/atom. Number 2: DFT formation energy 6.66 eV per formula unit, DOS at the Fermi energy 1.420 states/eV/atom. Number 3: DFT formation energy 0.69 eV per formula unit, DOS at the Fermi energy 0.957 states/eV/atom. Number 4: DFT formation energy 0.04 eV per formula unit, DOS at the Fermi energy 0.550 states/eV/atom.